VASP calculation (PBE-GGA) on a geometry-optimized LaAlRe structure.

Cell and atoms, written as CIF:
```
data_LaAlRe
_chemical_formula_sum 'La1 Al1 Re1'
_symmetry_space_group_name_H-M 'P 1'
_symmetry_Int_Tables_number 1
_symmetry_space_group_name_Hall 'P 1'
_cell_length_a 5.795
_cell_length_b 5.795
_cell_length_c 3.491
_cell_angle_alpha 72.47
_cell_angle_beta 72.47
_cell_angle_gamma 35.06
loop_
_atom_site_label
_atom_site_type_symbol
_atom_site_fract_x
_atom_site_fract_y
_atom_site_fract_z
Al1 Al 0.045 0.045 0.955
Re1 Re 0.622 0.622 0.378
La1 La 0.333 0.333 0.667
```

Properties
For the density, the calculation gives 9.15 g/cm³. The symmetry is No. 107. For the size of the total moment, the calculation gives 0.00 μB per cell. The formation energy from the elements comes out at 0.30 eV/f.u. As for the offset from the most stable computed form: 0.894 eV per formula unit.